Run 1
CaAc4Y after structural relaxation. Source: Alexandria via LeMat-Bulk, functional PBE.

```
12
Lattice="-4.666 -2.477 4.340 3.737 -6.402 0.363 4.781 4.472 7.692" Properties=species:S:1:pos:R:3 pbc="T T T"
Ca -0.981 -1.651 7.942
Ca 4.833 -2.757 4.453
Ac 1.912 -2.167 1.788
Ac -0.115 -0.085 4.367
Ac 3.897 2.991 6.867
Ac 3.967 -4.322 8.028
Ac 2.831 -0.732 7.165
Ac -0.045 -7.399 5.529
Ac 1.021 -3.676 5.231
Ac 1.940 -2.241 10.607
Y -1.771 -3.037 2.607
Y 0.842 -5.843 2.096
```

## Properties
Its total magnetization is 0.000 μB/f.u. The crystal system is monoclinic.

---

Run 2
CaAc4Y after structural relaxation. Source: Alexandria via LeMat-Bulk, functional PBE.

```
6
Lattice="7.270 0.000 0.000 3.635 6.296 0.000 3.635 2.099 5.936" Properties=species:S:1:pos:R:3 pbc="T T T"
Y 0.000 0.000 0.000
Ac 7.270 4.198 0.723
Ac 7.270 2.081 3.716
Ac 9.103 5.256 3.716
Ac 5.437 5.256 3.716
Ca 3.635 2.099 1.484
```

## Properties
Its total magnetization is 0.000 μB/f.u. The crystal system is cubic.

---

Which of them is the least stable? Correct choice: run 2.

---

Run 1
CaAcY after structural relaxation. Source: Alexandria via LeMat-Bulk, functional PBE.

```
6
Lattice="-2.372 2.956 -0.141 -3.823 -2.890 3.719 5.918 2.707 8.188" Properties=species:S:1:pos:R:3 pbc="T T T"
Ca 0.556 3.142 5.487
Ca -0.833 -0.368 6.278
Ac -0.335 2.600 9.097
Ac 0.058 0.174 2.668
Y 3.310 3.050 8.246
Y -3.586 -0.276 3.520
```

## Properties
Its total magnetization is 0.000 μB/f.u. The crystal system is orthorhombic.

---

Run 2
CaAcY after structural relaxation. Source: Alexandria via LeMat-Bulk, functional PBE.

```
3
Lattice="3.820 0.000 0.000 -1.910 3.308 0.000 0.000 0.000 9.326" Properties=species:S:1:pos:R:3 pbc="T T T"
Y 0.000 2.205 6.179
Ac 1.910 1.103 3.247
Ca 0.000 0.000 9.225
```

## Properties
Its total magnetization is 0.000 μB/f.u. The crystal system is trigonal.

---

Run 3
CaAcY after structural relaxation. Source: Alexandria via LeMat-Bulk, functional PBE.

```
6
Lattice="-0.386 -0.161 -3.782 -3.534 -1.348 0.418 -5.861 15.338 -0.062" Properties=species:S:1:pos:R:3 pbc="T T T"
Ca -2.350 2.043 -3.186
Ca -4.958 4.154 -1.101
Ac -4.432 7.489 -3.213
Ac -8.736 14.047 -1.136
Y -6.229 12.197 -3.228
Y -6.939 9.339 -1.121
```

## Properties
Its total magnetization is 0.000 μB/f.u. The crystal system is tetragonal.

---

Which of them is the least stable? Correct choice: run 2.

---

Run 1
CaAc3Y after structural relaxation. Source: Alexandria via LeMat-Bulk, functional PBE.

```
20
Lattice="-5.835 -5.579 -0.588 2.625 -3.720 9.251 -6.689 6.540 4.336" Properties=species:S:1:pos:R:3 pbc="T T T"
Ca -5.777 2.534 5.440
Ca -4.121 -5.294 7.559
Ca -1.122 -2.594 7.896
Ca -8.776 -0.166 5.103
Ac -4.047 -3.149 1.056
Ac -8.786 -2.381 11.641
Ac -5.852 0.390 11.944
Ac -1.113 -0.378 1.358
Ac -8.129 0.190 9.070
Ac -7.539 -2.598 2.131
Ac -1.770 -2.950 3.929
Ac -2.360 -0.162 10.869
Ac -5.226 -2.330 5.001
Ac -7.607 -3.200 7.696
Ac -4.672 -0.430 7.998
Ac -2.292 0.441 5.304
Y -4.745 -5.764 3.624
Y -5.249 -2.894 10.571
Y -5.154 3.004 9.376
Y -4.650 0.135 2.428
```

## Properties
Its total magnetization is 0.000 μB/f.u. The crystal system is orthorhombic.

---

Run 2
CaAc3Y after structural relaxation. Source: Alexandria via LeMat-Bulk, functional PBE.

```
10
Lattice="-2.207 4.855 -1.595 7.158 0.036 -9.795 -7.915 -3.030 1.730" Properties=species:S:1:pos:R:3 pbc="T T T"
Ca -7.703 0.665 -1.888
Ca 4.739 1.197 -7.772
Ac -1.082 0.614 -1.491
Ac -1.882 1.248 -8.168
Ac -3.196 1.860 -4.489
Ac 0.232 0.002 -5.171
Ac -4.349 -1.155 -2.356
Ac 1.384 3.017 -7.304
Y 1.538 -0.552 -8.667
Y -4.503 2.414 -0.993
```

## Properties
Its total magnetization is 0.000 μB/f.u. The crystal system is monoclinic.

---

Which of them is the least stable? Correct choice: run 1.

---

Run 1
Ca3AcZn after structural relaxation. Source: Alexandria via LeMat-Bulk, functional PBE.

```
10
Lattice="7.843 0.166 -0.513 -1.986 7.590 0.513 -3.631 -3.348 6.567" Properties=species:S:1:pos:R:3 pbc="T T T"
Ca 5.523 -0.616 1.283
Ca 0.117 2.446 1.797
Ca 2.109 1.962 4.771
Ca 4.125 2.975 1.196
Ca -3.297 5.024 5.284
Ca -1.898 1.434 5.371
Ac 2.557 -1.931 4.743
Ac -0.331 6.340 1.825
Zn 2.087 4.514 2.808
Zn 0.139 -0.105 3.759
```

## Properties
Its total magnetization is 0.000 μB/f.u. The crystal system is monoclinic.

---

Run 2
Ca3AcZn after structural relaxation. Source: Alexandria via LeMat-Bulk, functional PBE.

```
10
Lattice="4.026 0.000 0.662 1.912 6.807 0.944 -0.128 -0.079 13.361" Properties=species:S:1:pos:R:3 pbc="T T T"
Ca 3.619 6.347 3.144
Ca 4.343 4.971 11.321
Ca 0.671 1.188 8.497
Ca 4.089 0.758 12.863
Ca 3.203 0.185 5.674
Ca 2.825 4.200 7.974
Ac 1.341 3.321 4.420
Ac 1.831 3.657 14.022
Zn 3.686 1.889 2.732
Zn 2.354 2.567 10.838
```

## Properties
Its total magnetization is 0.000 μB/f.u. The crystal system is monoclinic.

---

Which of them is the least stable? Correct choice: run 1.

---

Run 1
CaAcZn4 after structural relaxation. Source: Alexandria via LeMat-Bulk, functional PBE.

```
6
Lattice="-1.498 5.114 -2.066 -2.776 3.725 3.328 2.653 4.715 1.842" Properties=species:S:1:pos:R:3 pbc="T T T"
Ac -0.405 3.389 0.776
Ca 0.000 0.000 0.000
Zn -2.337 6.115 1.020
Zn 0.372 6.609 0.279
Zn -1.013 8.468 1.939
Zn -0.266 5.916 2.970
```

## Properties
Its total magnetization is 0.000 μB/f.u. The crystal system is cubic.

---

Run 2
CaAcZn4 after structural relaxation. Source: Alexandria via LeMat-Bulk, functional PBE.

```
6
Lattice="4.327 0.000 1.855 2.078 5.433 1.126 0.022 -0.132 5.924" Properties=species:S:1:pos:R:3 pbc="T T T"
Ca 2.086 0.184 1.108
Ac 3.319 2.401 4.208
Zn 2.039 3.489 1.219
Zn 5.398 4.611 5.332
Zn 4.608 2.474 7.175
Zn 0.784 0.093 4.147
```

## Properties
Its total magnetization is 0.000 μB/f.u. The crystal system is orthorhombic.

---

Which of them is the least stable? Correct choice: run 1.

---

Run 1
CaAc2Zn3 after structural relaxation. Source: Alexandria via LeMat-Bulk, functional PBE.

```
12
Lattice="5.447 0.000 0.000 -2.723 4.717 0.000 0.000 0.000 13.316" Properties=species:S:1:pos:R:3 pbc="T T T"
Ca 0.000 3.145 8.866
Ca 2.723 1.572 4.451
Ac 0.000 0.000 6.658
Ac 0.000 3.145 2.320
Ac 2.723 1.572 10.996
Ac 0.000 0.000 0.000
Zn 0.000 3.145 5.562
Zn 2.723 1.572 1.151
Zn 0.000 0.000 9.932
Zn 0.000 0.000 3.384
Zn 0.000 3.145 12.165
Zn 2.723 1.572 7.755
```

## Properties
Its total magnetization is 0.000 μB/f.u. The crystal system is trigonal.

---

Run 2
CaAc2Zn3 after structural relaxation. Source: Alexandria via LeMat-Bulk, functional PBE.

```
6
Lattice="3.858 0.000 0.000 0.000 3.858 0.000 0.000 0.000 11.463" Properties=species:S:1:pos:R:3 pbc="T T T"
Ca 1.929 1.929 5.731
Ac 1.929 1.929 9.504
Ac 1.929 1.929 1.959
Zn 0.000 0.000 0.000
Zn 0.000 0.000 7.502
Zn 0.000 0.000 3.961
```

## Properties
Its total magnetization is 0.000 μB/f.u. The crystal system is tetragonal.

---

Which of them is the least stable? Correct choice: run 2.

---

Run 1
Ca2AcZn after structural relaxation. Source: Alexandria via LeMat-Bulk, functional PBE.

```
4
Lattice="-2.178 -1.370 -2.734 3.053 -0.783 -2.040 0.453 -8.850 4.073" Properties=species:S:1:pos:R:3 pbc="T T T"
Ac 0.664 -5.501 -0.350
Ca 0.369 -7.204 3.316
Ca 0.084 -1.645 0.757
Zn 0.437 -1.076 -2.387
```

## Properties
Its total magnetization is 0.002 μB/f.u. The crystal system is tetragonal.

---

Run 2
Ca2AcZn after structural relaxation. Source: Alexandria via LeMat-Bulk, functional PBE.

```
8
Lattice="3.866 -0.165 0.000 -1.626 7.224 0.000 0.000 0.000 10.159" Properties=species:S:1:pos:R:3 pbc="T T T"
Ca 0.089 2.074 4.446
Ca 2.152 4.985 5.713
Ca 2.152 4.985 9.526
Ca 0.089 2.074 0.634
Ac 0.273 6.348 2.540
Ac 1.967 0.711 7.620
Zn 2.094 3.674 2.540
Zn 0.146 3.385 7.620
```

## Properties
Its total magnetization is 0.000 μB/f.u. The crystal system is orthorhombic.

---

Run 3
Ca2AcZn after structural relaxation. Source: Alexandria via LeMat-Bulk, functional PBE.

```
8
Lattice="5.247 0.000 -1.455 -0.404 5.232 -1.455 0.041 0.045 10.337" Properties=species:S:1:pos:R:3 pbc="T T T"
Ca -0.202 2.616 -0.728
Ca 2.624 0.000 -0.728
Ca 1.704 1.840 6.143
Ca 3.182 3.436 1.284
Ac 0.769 0.831 2.773
Ac 4.116 4.446 4.653
Zn 1.030 3.946 3.713
Zn 3.855 1.330 3.713
```

## Properties
Its total magnetization is 0.000 μB/f.u. The crystal system is tetragonal.

---

Which of them is the least stable? Correct choice: run 1.

---

Run 1
Ca3Ac2Zn2 after structural relaxation. Source: Alexandria via LeMat-Bulk, functional PBE.

```
7
Lattice="-3.731 2.875 2.479 3.922 -2.965 3.628 3.704 7.343 -2.941" Properties=species:S:1:pos:R:3 pbc="T T T"
Ca -1.866 1.438 1.239
Ca 0.363 4.279 1.298
Ca 3.532 2.974 1.868
Ac 0.477 1.860 4.274
Ac 3.418 5.392 -1.109
Zn 2.507 6.391 2.075
Zn 1.389 0.862 1.090
```

## Properties
Its total magnetization is 0.000 μB/f.u. The crystal system is monoclinic.

---

Run 2
Ca3Ac2Zn2 after structural relaxation. Source: Alexandria via LeMat-Bulk, functional PBE.

```
7
Lattice="-2.609 -1.476 -2.556 6.338 -2.683 -1.885 -1.738 -5.069 7.738" Properties=species:S:1:pos:R:3 pbc="T T T"
Ca -1.304 -0.738 -1.278
Ca 3.602 -5.229 2.378
Ca -1.611 -3.999 0.919
Ac -0.003 -6.423 3.713
Ac 1.994 -2.804 -0.416
Zn 5.103 -3.690 -0.042
Zn -3.112 -5.537 3.339
```

## Properties
Its total magnetization is 0.000 μB/f.u. The crystal system is monoclinic.

---

Which of them is the least stable? Correct choice: run 1.

---

Run 1
Ca2AcZn3 after structural relaxation. Source: Alexandria via LeMat-Bulk, functional PBE.

```
6
Lattice="-1.802 1.441 -3.003 0.247 -3.347 -1.755 -9.794 -3.041 4.419" Properties=species:S:1:pos:R:3 pbc="T T T"
Ca -9.005 -3.508 1.334
Ca -2.343 -1.439 -1.672
Ac -5.674 -2.473 -0.169
Zn 0.000 0.000 0.000
Zn -6.685 -2.076 3.017
Zn -3.109 -0.965 1.403
```

## Properties
Its total magnetization is 0.000 μB/f.u. The crystal system is tetragonal.

---

Run 2
Ca2AcZn3 after structural relaxation. Source: Alexandria via LeMat-Bulk, functional PBE.

```
6
Lattice="5.330 0.000 0.000 -2.665 4.616 0.000 0.000 0.000 6.567" Properties=species:S:1:pos:R:3 pbc="T T T"
Ca 2.665 1.539 2.274
Ca 0.000 3.078 4.292
Ac 0.000 0.000 0.000
Zn 0.000 0.000 3.283
Zn 2.665 1.539 5.444
Zn 0.000 3.078 1.123
```

## Properties
Its total magnetization is 0.000 μB/f.u. The crystal system is trigonal.

---

Which of them is the least stable? Correct choice: run 1.

---

Run 1
Ac2Cd after structural relaxation. Source: Alexandria via LeMat-Bulk, functional PBE.

```
6
Lattice="7.091 0.000 0.000 3.546 6.141 0.000 3.546 2.047 5.790" Properties=species:S:1:pos:R:3 pbc="T T T"
Ac 5.319 5.118 3.619
Ac 7.091 2.047 3.619
Ac 8.864 5.118 3.619
Ac 7.091 4.094 0.724
Cd 0.000 0.000 0.000
Cd 3.546 2.047 1.448
```

## Properties
Its total magnetization is 0.000 μB/f.u. The crystal system is cubic.

---

Run 2
Ac2Cd after structural relaxation. Source: Alexandria via LeMat-Bulk, functional PBE.

```
6
Lattice="4.056 0.000 0.000 0.000 4.056 0.000 0.000 0.000 13.774" Properties=species:S:1:pos:R:3 pbc="T T T"
Ac 2.028 2.028 0.000
Ac 2.028 2.028 4.091
Ac 0.000 0.000 6.887
Ac 2.028 2.028 9.683
Cd 0.000 0.000 11.713
Cd 0.000 0.000 2.061
```

## Properties
Its total magnetization is 0.005 μB/f.u. The crystal system is tetragonal.

---

Which of them is the least stable? Correct choice: run 1.

---

Run 1
Ac2Cd after structural relaxation. Source: Alexandria via LeMat-Bulk, functional PBE.

```
3
Lattice="-4.795 2.891 -0.545 0.481 -0.257 -5.600 0.109 -4.716 3.052" Properties=species:S:1:pos:R:3 pbc="T T T"
Ac -3.422 -0.254 -0.282
Ac -0.783 -1.828 -2.810
Cd 0.000 0.000 0.000
```

## Properties
Its total magnetization is 0.000 μB/f.u. The crystal system is tetragonal.

---

Run 2
Ac2Cd after structural relaxation. Source: Alexandria via LeMat-Bulk, functional PBE.

```
3
Lattice="-3.479 2.081 0.233 -0.322 -0.979 3.927 5.414 5.144 -0.366" Properties=species:S:1:pos:R:3 pbc="T T T"
Ac 1.041 1.684 0.505
Ac 0.572 4.561 3.289
Cd -1.900 0.551 2.080
```

## Properties
Its total magnetization is 0.004 μB/f.u. The crystal system is tetragonal.

---

Which of them is the least stable? Correct choice: run 1.